[1]
## Na2NbMoN4 (PBE)

Data for a relaxed structure of Na2NbMoN4.

Its total moment is 0.00 Bohr magnetons per cell. For the formation energy (no corrections), the calculation gives -0.524 eV/atom. The total energy is -7.63 eV per atom.

Unit cell a=5.912 b=5.912 c=5.912 alpha=127.20 beta=127.20 gamma=77.92
Fractional positions:
Na  0.000  0.000  0.000
Na  0.750  0.250  0.500
Nb  0.500  0.500  0.000
Mo  0.250  0.750  0.500
N  0.213  0.116  0.585
N  0.372  0.787  0.903
N  0.531  0.628  0.415
N  0.884  0.469  0.097


[2]
## Ac5PrPb3 (PBE)

Data for a relaxed structure of Ac5PrPb3.

Its total moment is 6.14 Bohr magnetons per cell. The total energy is -4.39 eV per atom. The calculation puts the formation energy at -342 meV/atom.

Unit cell a=10.344 b=10.344 c=7.259 alpha=90.00 beta=90.00 gamma=120.00
Fractional positions:
Ac  0.000  0.328  0.250
Ac  0.000  0.672  0.750
Ac  0.328  0.000  0.250
Ac  0.328  0.328  0.750
Ac  0.333  0.667  0.000
Ac  0.333  0.667  0.500
Ac  0.667  0.333  0.000
Ac  0.667  0.333  0.500
Ac  0.672  0.000  0.750
Ac  0.672  0.672  0.250
Pr  0.000  0.000  0.000
Pr  0.000  0.000  0.500
Pb  0.000  0.334  0.750
Pb  0.000  0.666  0.250
Pb  0.334  0.000  0.750
Pb  0.334  0.334  0.250
Pb  0.666  0.000  0.250
Pb  0.666  0.666  0.750


[3]
## Ba2PrMg3H12 (PBE)

Data for a relaxed structure of Ba2PrMg3H12.

Its total moment is 0.00 Bohr magnetons per cell. The total energy is -3.30 eV per atom.

Unit cell a=6.840 b=6.840 c=6.840 alpha=61.49 beta=61.49 gamma=61.49
Fractional positions:
Ba  0.114  0.114  0.114
Ba  0.886  0.886  0.886
Pr  0.500  0.500  0.500
Mg  0.000  0.500  0.500
Mg  0.500  0.000  0.500
Mg  0.500  0.500  0.000
H  0.078  0.636  0.636
H  0.237  0.237  0.628
H  0.237  0.628  0.237
H  0.364  0.364  0.922
H  0.364  0.922  0.364
H  0.372  0.763  0.763
H  0.628  0.237  0.237
H  0.636  0.078  0.636
H  0.636  0.636  0.078
H  0.763  0.372  0.763
H  0.763  0.763  0.372
H  0.922  0.364  0.364


[4]
## Tm2Ag6Pd (PBE)

Data for a relaxed structure of Tm2Ag6Pd.

Its total moment is 0.00 Bohr magnetons per cell. The total energy is -3.77 eV per atom. The calculation puts the formation energy at -301 meV/atom.

Unit cell a=7.028 b=7.028 c=6.944 alpha=110.53 beta=110.53 gamma=33.24
Fractional positions:
Tm  0.057  0.057  0.308
Tm  0.943  0.943  0.692
Ag  0.170  0.170  0.999
Ag  0.270  0.270  0.672
Ag  0.391  0.391  0.333
Ag  0.609  0.609  0.667
Ag  0.730  0.730  0.328
Ag  0.830  0.830  0.001
Pd  0.500  0.500  0.000


[5]
## GePbN2F (PBE)

Data for a relaxed structure of GePbN2F.

Its total moment is 0.27 Bohr magnetons per cell. For the formation energy (no corrections), the calculation gives 0.890 eV/atom. The value obtained for the relative energy among the computed polymorphs is 850 meV per atom. The total energy is -4.48 eV per atom.

Unit cell a=4.289 b=4.289 c=4.372 alpha=90.00 beta=90.00 gamma=90.00
Fractional positions:
Ge  0.000  0.000  0.000
Pb  0.500  0.500  0.500
N  0.000  0.500  0.500
N  0.500  0.000  0.500
F  0.500  0.500  0.000


[6]
## KP2Os (PBE)

Data for a relaxed structure of KP2Os.

Its total moment is 0.00 Bohr magnetons per cell. The value obtained for the relative energy among the computed polymorphs is 265 meV per atom. The total energy is -5.68 eV per atom. The calculation puts the formation energy at 104 meV/atom.

Unit cell a=2.869 b=4.093 c=6.636 alpha=90.00 beta=90.00 gamma=90.00
Fractional positions:
K  0.000  0.000  0.000
P  0.500  0.500  0.323
P  0.500  0.500  0.677
Os  0.500  0.000  0.500